Record 1
LiMo2Cl | the Alexandria database | GGA-PBE | optimized geometry; space group = P4mm; polymorph energy (0 for the lowest one) = 1.4 kJ/mol of atoms; formation energy (no corrections) = -8.5 kJ per mole of atoms; crystal system = tetragonal
1.0
3.265 0.000 0.000
0.000 3.265 0.000
0.000 0.000 7.760
Li Mo Cl
1 2 1
Direct
0.000 0.000 0.000
0.000 0.000 0.394
0.500 0.500 0.253
0.500 0.500 0.919

---

Record 2
CaHoAg4 | the Alexandria database | GGA-PBE | optimized geometry; space group = F-43m; polymorph energy (0 for the lowest one) = 8.8 kJ/mol of atoms; E_form = -0.18 eV per atom; crystal system = cubic
1.0
0.000 4.049 4.049
4.049 0.000 4.049
4.049 4.049 0.000
Ca Ho Ag
1 1 4
Direct
0.000 0.000 0.000
0.750 0.750 0.750
0.375 0.375 0.375
0.375 0.375 0.875
0.375 0.875 0.375
0.875 0.375 0.375

---

Record 3
Ac2MgSe4 | the Alexandria database | GGA-PBE | optimized geometry; space group = C2/m; formation energy (no corrections) = -165.8 kJ per mole of atoms; crystal system = monoclinic
1.0
12.460 0.000 0.000
0.000 4.249 0.000
-3.939 0.000 7.429
Ac Mg Se
4 2 8
Direct
0.167 0.000 0.195
0.333 0.500 0.805
0.667 0.500 0.195
0.833 0.000 0.805
0.000 0.500 0.500
0.500 0.000 0.500
0.073 0.500 0.867
0.155 0.000 0.558
0.345 0.500 0.442
0.427 0.000 0.133
0.573 0.000 0.867
0.655 0.500 0.558
0.845 0.000 0.442
0.927 0.500 0.133

---

Record 4
AcErAgSn | the Alexandria database | GGA-PBE | optimized geometry; space group = F-43m; E_form = -0.43 eV per atom; crystal system = cubic
1.0
7.742 0.000 0.000
0.000 7.742 0.000
0.000 0.000 7.742
Ac Er Ag Sn
4 4 4 4
Direct
0.000 0.000 0.000
0.000 0.500 0.500
0.500 0.000 0.500
0.500 0.500 0.000
0.000 0.000 0.500
0.000 0.500 0.000
0.500 0.000 0.000
0.500 0.500 0.500
0.250 0.250 0.750
0.250 0.750 0.250
0.750 0.250 0.250
0.750 0.750 0.750
0.250 0.250 0.250
0.250 0.750 0.750
0.750 0.250 0.750
0.750 0.750 0.250

---

Record 5
Tb4Er2C | the Alexandria database | GGA-PBE | optimized geometry; space group = I4/mmm; E_form = 0.16 eV per atom; crystal system = tetragonal
1.0
4.879 0.000 0.000
0.000 4.879 0.000
0.000 0.000 17.508
Tb Er C
8 4 2
Direct
0.000 0.000 0.136
0.000 0.000 0.864
0.000 0.500 0.000
0.000 0.500 0.500
0.500 0.000 0.000
0.500 0.000 0.500
0.500 0.500 0.364
0.500 0.500 0.636
0.000 0.000 0.330
0.000 0.000 0.670
0.500 0.500 0.170
0.500 0.500 0.830
0.000 0.000 0.000
0.500 0.500 0.500

---

Record 6
Th6Cd7 | the Alexandria database | GGA-PBE | optimized geometry; space group = Pbam; polymorph energy (0 for the lowest one) = 0.0 kJ/mol of atoms; E_form = -0.13 eV per atom; crystal system = orthorhombic
1.0
9.917 0.000 0.000
0.000 11.668 0.000
0.000 0.000 6.036
Th Cd
12 14
Direct
0.051 0.126 0.000
0.157 0.957 0.500
0.169 0.414 0.000
0.331 0.914 0.000
0.343 0.457 0.500
0.449 0.626 0.000
0.551 0.374 0.000
0.657 0.543 0.500
0.669 0.086 0.000
0.831 0.586 0.000
0.843 0.043 0.500
0.949 0.874 0.000
0.000 0.500 0.500
0.098 0.252 0.500
0.153 0.681 0.244
0.153 0.681 0.756
0.347 0.181 0.244
0.347 0.181 0.756
0.402 0.752 0.500
0.500 0.000 0.500
0.598 0.248 0.500
0.653 0.819 0.244
0.653 0.819 0.756
0.847 0.319 0.244
0.847 0.319 0.756
0.902 0.748 0.500

---

no.,VASP energy (eV per cell)
1,-25.77
2,-19.07
3,-71.56
4,-68.92
5,-71.52
6,-105.31